PBEsol KSi2Br, optimized geometry; energy relative to the elements, uncorrected = 1.25 eV/f.u.; D(E_F) = 0.4374 states/eV/atom; offset from the most stable computed form = 38.64 kJ/mol of atoms; calculated total energy = -3.313 eV/atom; space-group type = Pmmm
1.0
2.762 0.000 0.000
0.000 5.980 0.000
0.000 0.000 6.294
K Si Br
1 2 1
Direct
0.500 0.000 0.500 K
0.000 0.809 0.000 Si
0.000 0.191 0.000 Si
0.500 0.500 0.500 Br